No. 1
The following is a PBE calculation of K2ScPt after structural relaxation, from Alexandria.

Unit cell a=5.738 b=11.643 c=3.324 alpha=90.00 beta=90.00 gamma=90.00
Space group Cmmm (No. 65)
Unique sites:
K: 0.250 0.250 0.000
Sc: 0.000 0.000 0.500
Pt: 0.000 0.500 0.500

The formation energy comes out at 430 meV/atom. As for the energy above the most stable polymorph in this dataset: 268 kJ/mol of formula units. The calculation puts the density of states at the Fermi level at 0.79 states/eV per atom. The calculation puts the total DFT energy (no corrections) at -3.21 eV per atom.

No. 2
The following is a PBE calculation of GdYLuMg after structural relaxation, from Alexandria.

Unit cell a=7.753 b=7.753 c=7.753 alpha=90.00 beta=90.00 gamma=90.00
Space group F-43m (No. 216)
Unique sites:
Gd: 0.000 0.000 0.000
Y: 0.000 0.000 0.500
Lu: 0.250 0.250 0.250
Mg: 0.250 0.250 0.750

The formation energy comes out at 19 meV/atom. The calculation puts the density of states at the Fermi level at 1.18 states/eV per atom. The calculation puts the total DFT energy (no corrections) at -6.65 eV per atom.

No. 3
The following is a PBE calculation of Sm6Ga5Cu after structural relaxation, from Alexandria.

Unit cell a=5.149 b=7.293 c=8.145 alpha=90.00 beta=108.35 gamma=90.00
Space group P2/m (No. 10)
Unique sites:
Sm: 0.000 0.246 0.000
Sm: 0.335 0.248 0.670
Ga: 0.164 0.000 0.328
Ga: 0.167 0.500 0.334
Ga: 0.500 0.500 0.000
Cu: 0.500 0.000 0.000

The formation energy comes out at -495 meV/atom. The calculation puts the density of states at the Fermi level at 0.88 states/eV per atom. The calculation puts the total DFT energy (no corrections) at -4.46 eV per atom.